Record 1
Material: CsNa2TlCl6
Method: DFT, GGA-PBE
State: relaxed

Summary:
E: -3.082 eV per atom
E_form (uncorrected): -1.39 eV per atom

a b c (Å): 7.2454 7.2454 20.1863
angles (deg): 90.00 90.00 120.00
With the nearest neighbours (Å) after each atom.
Space group R3 (No. 146, hexagonal axes)
One atom of each set of equivalent atoms:
Cs 0.0000 0.0000 0.0000  3 Cl 3.36
Na 0.0000 0.0000 0.2666  6 Cl 2.87-2.93
Na 0.0000 0.0000 0.7882  6 Cl 2.78-2.93
Tl 0.0000 0.0000 0.4593  6 Cl 2.64-2.68
Cl 0.0172 0.5582 0.0388  1 Tl 2.68, 2 Na 2.78-2.93
Cl 0.0255 0.3526 0.1945  1 Tl 2.64, 2 Na 2.87-2.93

---

Record 2
Material: CsNaTl2Cl8
Method: DFT, GGA-PBE
State: relaxed

Summary:
E: -2.892 eV per atom
E_form (uncorrected): -1.09 eV per atom

a b c (Å): 7.0670 7.0670 16.2760
angles (deg): 90.00 90.00 90.00
With the nearest neighbours (Å) after each atom.
Space group I-4 (No. 82)
One atom of each set of equivalent atoms:
Cs 0.0000 0.0000 0.0000  8 Cl 3.42-3.58
Na 0.0000 0.5000 0.7500  8 Cl 3.12-3.33
Tl 0.0000 0.0000 0.5000  4 Cl 2.48
Tl 0.0000 0.5000 0.2500  4 Cl 2.49
Cl 0.1430 0.2463 0.5890  1 Tl 2.48
Cl 0.1768 0.7523 0.1760  1 Tl 2.49

---

Record 3
Material: Cs2NaTlCl4
Method: DFT, GGA-PBE
State: relaxed

Summary:
E: -3.242 eV per atom
E_form (uncorrected): -1.64 eV per atom

a b c (Å): 8.0680 4.6711 8.0990
angles (deg): 90.00 109.05 90.00
With the nearest neighbours (Å) after each atom.
Space group P2/m (No. 10)
One atom of each set of equivalent atoms:
Cs 0.0000 0.0000 0.0000  6 Cl 3.39-3.41
Cs 0.5000 0.5000 0.0000  6 Cl 3.52-3.58
Na 0.0000 0.5000 0.5000  6 Cl 3.00-3.11
Tl 0.5000 0.0000 0.5000  6 Cl 3.22-3.24
Cl 0.2257 0.0000 0.7133  2 Na 3.11, 1 Tl 3.22, 1 Cs 3.39
Cl 0.2406 0.5000 0.2847  1 Na 3.00, 2 Tl 3.24

---

Record 4
Material: CsNaTlCl3
Method: DFT, GGA-PBE
State: relaxed

Summary:
E: -3.231 eV per atom
E_form (uncorrected): -1.55 eV per atom

a b c (Å): 8.7431 4.9252 10.3075
angles (deg): 90.00 110.07 90.00
With the nearest neighbours (Å) after each atom.
Space group P2_1/m (No. 11)
One atom of each set of equivalent atoms:
Cs 0.2252 0.2500 0.2530  7 Cl 3.53-3.82
Na 0.1548 0.2500 0.6268  5 Cl 2.73-2.96
Tl 0.3269 0.7500 0.8894  5 Cl 3.11-3.27
Cl 0.0954 0.2500 0.8740  1 Na 2.77
Cl 0.1813 0.7500 0.5219  3 Na 2.73-2.81
Cl 0.4925 0.7500 0.2091  1 Na 2.96, 3 Tl 3.11-3.27

---

Record 5
Material: CsNaTm2Cl8
Method: DFT, GGA-PBE
State: relaxed

Summary:
E: -4.274 eV per atom
E_form (uncorrected): -2.12 eV per atom

a b c (Å): 6.8065 7.1936 8.2309
angles (deg): 89.95 89.95 85.12
With the nearest neighbours (Å) after each atom.
Space group P-1 (No. 2)
One atom of each set of equivalent atoms:
Cs 0.0000 0.0000 0.0000  6 Cl 3.24-3.55
Na 0.0000 0.0000 0.5000  4 Cl 2.87
Tm 0.5000 0.5000 0.2584  6 Cl 2.56-2.70
Cl 0.2735 0.8011 0.7166  1 Tm 2.56
Cl 0.2738 0.8014 0.2833  1 Tm 2.56
Cl 0.2908 0.3657 0.5002  2 Tm 2.67
Cl 0.3004 0.3806 0.0003  2 Tm 2.70

---

Record 6
Material: Cs2NaUCl6
Method: DFT, GGA-PBE
State: relaxed

Summary:
E: -4.413 eV per atom
E_form (uncorrected): -1.87 eV per atom

a b c (Å): 11.0957 11.0957 11.0957
angles (deg): 90.00 90.00 90.00
With the nearest neighbours (Å) after each atom.
Space group Fm-3m (No. 225)
One atom of each set of equivalent atoms:
Cs 0.2500 0.2500 0.2500  12 Cl 3.92
Na 0.0000 0.0000 0.0000  6 Cl 2.80
U 0.0000 0.0000 0.5000  6 Cl 2.75
Cl 0.0000 0.0000 0.2525  1 U 2.75, 1 Na 2.80